Material: CaNdSb2
Method: DFT, PBE
State: relaxed

```
data_CaNdSb2
_chemical_formula_sum 'Ca3 Nd3 Sb6'
_symmetry_space_group_name_H-M 'R -3 m'
_symmetry_Int_Tables_number 166
_symmetry_space_group_name_Hall '-R 3 2"'
_cell_length_a 4.4426
_cell_length_b 4.4426
_cell_length_c 23.0967
_cell_angle_alpha 90.00
_cell_angle_beta 90.00
_cell_angle_gamma 120.00
loop_
_atom_site_label
_atom_site_type_symbol
_atom_site_fract_x
_atom_site_fract_y
_atom_site_fract_z
_atom_site_occupancy
Ca1 Ca 0.0000 0.0000 0.0000 1
Nd1 Nd 0.0000 0.0000 0.5000 1
Sb1 Sb 0.0000 0.0000 0.2489 1
```

Output
**Energy relative to the lowest polymorph listed for this composition**: 0 meV per atom